No. 1
The following is a PBEsol calculation of a relaxed Be2AlIr crystal, from the Alexandria database.

a b c (Å): 3.492 3.492 7.376
angles (deg): 90.00 90.00 90.00
Space group I-4m2 (No. 119)
Asymmetric unit:
Be1 0.000 0.000 0.000 [2 per cell]
Be2 0.000 0.500 0.250 [2 per cell]
Al1 0.000 0.500 0.750 [2 per cell]
Ir1 0.000 0.000 0.500 [2 per cell]

## Properties
E_form (eV per atom): -0.452



No. 2
The following is a PBEsol calculation of a relaxed BeAlIr2 crystal, from the Alexandria database.

a b c (Å): 5.795 5.795 5.795
angles (deg): 90.00 90.00 90.00
Space group Fm-3m (No. 225)
Asymmetric unit:
Be1 0.000 0.000 0.000 [4 per cell]
Al1 0.000 0.000 0.500 [4 per cell]
Ir1 0.250 0.250 0.250 [8 per cell]

## Properties
E_form (eV per atom): -0.751